No. 1
A plane-wave DFT calculation with PBE was carried out for a geometry-optimized ZrAlW structure.

Summary:
Formation enthalpy at 0 K   -139.3 meV per atom
Raw total energy   -8.5539 eV/atom
Relative energy among the computed polymorphs   147 meV per atom

Cell: 7.473 7.473 5.341 Å, 91.65 91.65 158.63°
Sites, in units of the cell vectors:
Zr (0.077, 0.923, 0.750)
Zr (0.923, 0.077, 0.250)
Al (0.394, 0.606, 0.750)
Al (0.606, 0.394, 0.250)
W (0.000, 0.500, 0.000)
W (0.500, 0.000, 0.500)



No. 2
A plane-wave DFT calculation with PBE was carried out for a geometry-optimized ZrAlW2 structure.

Summary:
Formation enthalpy at 0 K   -61.0 meV per atom
Raw total energy   -9.6103 eV/atom

Cell: 3.248 3.248 6.675 Å, 90.00 90.00 90.00°
Sites, in units of the cell vectors:
Zr (0.000, 0.000, 0.000)
Al (0.500, 0.500, 0.288)
W (0.000, 0.000, 0.511)
W (0.500, 0.500, 0.724)



No. 3
A plane-wave DFT calculation with PBE was carried out for a geometry-optimized ZrAlW structure.

Summary:
Formation enthalpy at 0 K   -55.4 meV per atom
Raw total energy   -8.4700 eV/atom
Relative energy among the computed polymorphs   231 meV per atom

Cell: 4.058 6.565 6.565 Å, 38.47 90.00 90.00°
Sites, in units of the cell vectors:
Zr (0.000, 0.000, 0.000)
Zr (0.500, 0.177, 0.177)
Al (0.000, 0.342, 0.342)
Al (0.500, 0.505, 0.505)
W (0.000, 0.702, 0.702)
W (0.500, 0.842, 0.842)



No. 4
A plane-wave DFT calculation with PBE was carried out for a geometry-optimized ZrAlW2 structure.

Summary:
Formation enthalpy at 0 K   37.6 meV per atom
Raw total energy   -9.5116 eV/atom

Cell: 4.603 4.603 4.603 Å, 60.00 60.00 60.00°
Sites, in units of the cell vectors:
Zr (0.000, 0.000, 0.000)
Al (0.750, 0.750, 0.750)
W (0.250, 0.250, 0.250)
W (0.500, 0.500, 0.500)



No. 5
A plane-wave DFT calculation with PBE was carried out for a geometry-optimized ZrAlW2 structure.

Summary:
Formation enthalpy at 0 K   98.7 meV per atom
Raw total energy   -9.4505 eV/atom

Cell: 2.795 4.690 5.325 Å, 90.00 98.07 90.00°
Sites, in units of the cell vectors:
Zr (0.000, 0.000, 0.000)
Al (0.500, 0.000, 0.500)
W (0.265, 0.500, 0.748)
W (0.735, 0.500, 0.252)



No. 6
A plane-wave DFT calculation with PBE was carried out for a geometry-optimized ZrAlW2 structure.

Summary:
Formation enthalpy at 0 K   758.3 meV per atom
Raw total energy   -8.7910 eV/atom

Cell: 5.931 5.931 5.931 Å, 101.56 101.56 126.81°
Sites, in units of the cell vectors:
Zr (0.000, 0.000, 0.000)
Zr (0.750, 0.250, 0.500)
Al (0.250, 0.750, 0.500)
Al (0.500, 0.500, 0.000)
W (0.159, 0.625, 0.034)
W (0.375, 0.409, 0.534)
W (0.591, 0.125, 0.966)
W (0.875, 0.841, 0.466)



No. 7
A plane-wave DFT calculation with PBE was carried out for a geometry-optimized ZrAlW structure.

Summary:
Formation enthalpy at 0 K   -153.6 meV per atom
Raw total energy   -8.5682 eV/atom
Relative energy among the computed polymorphs   132 meV per atom

Cell: 3.068 4.357 8.139 Å, 90.00 91.55 90.00°
Sites, in units of the cell vectors:
Zr (0.006, 0.250, 0.234)
Zr (0.994, 0.750, 0.766)
Al (0.493, 0.750, 0.090)
Al (0.507, 0.250, 0.910)
W (0.364, 0.250, 0.571)
W (0.636, 0.750, 0.429)



No. 8
A plane-wave DFT calculation with PBE was carried out for a geometry-optimized ZrAlW2 structure.

Summary:
Formation enthalpy at 0 K   22.4 meV per atom
Raw total energy   -9.5269 eV/atom

Cell: 2.848 4.524 5.548 Å, 90.00 101.80 90.00°
Sites, in units of the cell vectors:
Zr (0.000, 0.000, 0.000)
Al (0.666, 0.500, 0.256)
W (0.297, 0.500, 0.722)
W (0.505, 0.000, 0.510)



No. 9
A plane-wave DFT calculation with PBE was carried out for a geometry-optimized ZrAlW structure.

Summary:
Formation enthalpy at 0 K   -113.7 meV per atom
Raw total energy   -8.5283 eV/atom
Relative energy among the computed polymorphs   172 meV per atom

Cell: 5.784 5.784 6.103 Å, 105.18 105.18 33.46°
Sites, in units of the cell vectors:
Zr (0.000, 0.000, 0.000)
Zr (0.000, 0.000, 0.500)
Al (0.320, 0.320, 0.663)
Al (0.680, 0.680, 0.337)
W (0.320, 0.320, 0.151)
W (0.680, 0.680, 0.849)



No. 10
A plane-wave DFT calculation with PBE was carried out for a geometry-optimized ZrAlW2 structure.

Summary:
Formation enthalpy at 0 K   38.6 meV per atom
Raw total energy   -9.5107 eV/atom

Cell: 3.919 3.919 4.516 Å, 90.00 90.00 90.00°
Sites, in units of the cell vectors:
Zr (0.000, 0.000, 0.000)
Al (0.500, 0.500, 0.000)
W (0.000, 0.500, 0.500)
W (0.500, 0.000, 0.500)



No. 11
A plane-wave DFT calculation with PBE was carried out for a geometry-optimized ZrAl2W2 structure.

Summary:
Formation enthalpy at 0 K   -28.8 meV per atom
Raw total energy   -8.4167 eV/atom
Relative energy among the computed polymorphs   18 meV per atom

Cell: 6.666 6.666 6.666 Å, 146.70 146.70 47.80°
Sites, in units of the cell vectors:
Zr (0.000, 0.000, 0.000)
Al (0.401, 0.401, 0.000)
Al (0.599, 0.599, 0.000)
W (0.250, 0.750, 0.500)
W (0.750, 0.250, 0.500)



No. 12
A plane-wave DFT calculation with PBE was carried out for a geometry-optimized ZrAlW structure.

Summary:
Formation enthalpy at 0 K   528.5 meV per atom
Raw total energy   -7.8861 eV/atom
Relative energy among the computed polymorphs   815 meV per atom

Cell: 4.411 4.411 4.411 Å, 60.00 60.00 60.00°
Sites, in units of the cell vectors:
Zr (0.000, 0.000, 0.000)
Al (0.750, 0.750, 0.750)
W (0.500, 0.500, 0.500)



No. 13
A plane-wave DFT calculation with PBE was carried out for a geometry-optimized ZrAlW structure.

Summary:
Formation enthalpy at 0 K   -273.0 meV per atom
Raw total energy   -8.6877 eV/atom
Relative energy among the computed polymorphs   13 meV per atom

Cell: 5.368 5.368 5.368 Å, 120.71 119.99 89.39°
Sites, in units of the cell vectors:
Zr (0.370, 0.120, 0.250)
Zr (0.630, 0.880, 0.750)
Al (0.000, 0.500, 0.500)
Al (0.500, 0.500, 0.000)
W (0.000, 0.000, 0.500)
W (0.000, 0.500, 0.000)



No. 14
A plane-wave DFT calculation with PBE was carried out for a geometry-optimized ZrAlW3 structure.

Summary:
Formation enthalpy at 0 K   2493.1 meV per atom
Raw total energy   -7.7370 eV/atom
Relative energy among the computed polymorphs   1098 meV per atom

Cell: 4.803 4.803 4.803 Å, 90.00 90.00 90.00°
Sites, in units of the cell vectors:
Zr (0.000, 0.000, 0.000)
Al (0.500, 0.500, 0.500)
W (0.000, 0.000, 0.500)
W (0.000, 0.500, 0.000)
W (0.500, 0.000, 0.000)



No. 15
A plane-wave DFT calculation with PBE was carried out for a geometry-optimized Y4Al structure.

Summary:
Formation enthalpy at 0 K   -38.2 meV per atom
Raw total energy   -5.9579 eV/atom
Relative energy among the computed polymorphs   111 meV per atom

Cell: 6.530 6.530 8.697 Å, 113.08 113.08 66.08°
Sites, in units of the cell vectors:
Y (0.158, 0.682, 0.619)
Y (0.266, 0.266, 0.813)
Y (0.280, 0.280, 0.219)
Y (0.318, 0.842, 0.381)
Y (0.682, 0.158, 0.619)
Y (0.720, 0.720, 0.781)
Y (0.734, 0.734, 0.187)
Y (0.842, 0.318, 0.381)
Al (0.200, 0.800, 0.000)
Al (0.800, 0.200, 0.000)



No. 16
A plane-wave DFT calculation with PBE was carried out for a geometry-optimized Y3Al structure.

Summary:
Formation enthalpy at 0 K   -175.3 meV per atom
Raw total energy   -5.9590 eV/atom

Cell: 5.337 6.679 6.138 Å, 90.00 90.00 90.00°
Sites, in units of the cell vectors:
Y (0.250, 0.005, 0.160)
Y (0.250, 0.250, 0.625)
Y (0.250, 0.495, 0.160)
Y (0.750, 0.505, 0.840)
Y (0.750, 0.750, 0.375)
Y (0.750, 0.995, 0.840)
Al (0.250, 0.750, 0.666)
Al (0.750, 0.250, 0.334)



No. 17
A plane-wave DFT calculation with PBE was carried out for a geometry-optimized Y3Al structure.

Summary:
Formation enthalpy at 0 K   -187.6 meV per atom
Raw total energy   -5.9713 eV/atom

Cell: 4.782 4.782 4.782 Å, 90.00 90.00 90.00°
Sites, in units of the cell vectors:
Y (0.000, 0.000, 0.500)
Y (0.000, 0.500, 0.000)
Y (0.500, 0.000, 0.000)
Al (0.500, 0.500, 0.500)



No. 18
A plane-wave DFT calculation with PBE was carried out for a geometry-optimized Y3Al structure.

Summary:
Formation enthalpy at 0 K   -200.8 meV per atom
Raw total energy   -5.9845 eV/atom

Cell: 6.866 6.866 5.328 Å, 90.00 90.00 120.00°
Sites, in units of the cell vectors:
Y (0.175, 0.350, 0.250)
Y (0.175, 0.825, 0.250)
Y (0.350, 0.175, 0.750)
Y (0.650, 0.825, 0.250)
Y (0.825, 0.175, 0.750)
Y (0.825, 0.650, 0.750)
Al (0.333, 0.667, 0.750)
Al (0.667, 0.333, 0.250)



No. 19
A plane-wave DFT calculation with PBE was carried out for a geometry-optimized Y2Al3 structure.

Summary:
Formation enthalpy at 0 K   -442.1 meV per atom
Raw total energy   -5.2733 eV/atom

Cell: 5.860 5.860 7.950 Å, 90.00 90.00 123.27°
Sites, in units of the cell vectors:
Y (0.156, 0.844, 0.902)
Y (0.344, 0.656, 0.402)
Y (0.656, 0.344, 0.598)
Y (0.844, 0.156, 0.098)
Al (0.000, 0.000, 0.500)
Al (0.149, 0.351, 0.750)
Al (0.351, 0.149, 0.250)
Al (0.500, 0.500, 0.000)
Al (0.649, 0.851, 0.750)
Al (0.851, 0.649, 0.250)



No. 20
A plane-wave DFT calculation with PBE was carried out for a geometry-optimized YAl6 structure.

Summary:
Formation enthalpy at 0 K   -186.0 meV per atom
Raw total energy   -4.3173 eV/atom

Cell: 5.905 5.905 7.867 Å, 90.00 90.00 90.00°
Sites, in units of the cell vectors:
Y (0.250, 0.750, 0.000)
Y (0.750, 0.250, 0.000)
Al (0.076, 0.576, 0.355)
Al (0.076, 0.924, 0.645)
Al (0.250, 0.250, 0.160)
Al (0.250, 0.250, 0.840)
Al (0.424, 0.576, 0.645)
Al (0.424, 0.924, 0.355)
Al (0.576, 0.076, 0.645)
Al (0.576, 0.424, 0.355)
Al (0.750, 0.750, 0.160)
Al (0.750, 0.750, 0.840)
Al (0.924, 0.076, 0.355)
Al (0.924, 0.424, 0.645)